# K2Pt2Pb PBE relaxed
# E above lowest polymorph	567.8	meV per atom
# Fermi-level density of states	0.001	states/eV/atom
# formation energy	32.6	kJ per mole of atoms
data_K2Pt2Pb
_chemical_formula_sum 'K4 Pt4 Pb2'
_cell_length_a 4.2888
_cell_length_b 4.2888
_cell_length_c 14.6485
_cell_angle_alpha 90.00
_cell_angle_beta 90.00
_cell_angle_gamma 90.00
_symmetry_space_group_name_H-M 'I 4/m m m'
_symmetry_Int_Tables_number 139
_symmetry_space_group_name_Hall '-I 4 2'
loop_
_atom_site_label
_atom_site_fract_x
_atom_site_fract_y
_atom_site_fract_z
_atom_site_occupancy
K1 0.0000 0.5000 0.2500 1
Pt1 0.0000 0.0000 0.0886 1
Pb1 0.0000 0.0000 0.5000 1